Record 1
VASP calculation (PBE) on Sc2ReAs after structural relaxation.

Structure (POSCAR):
```
Sc2ReAs
1.0
1.6097 0.9294 8.7613
-1.6097 0.9294 8.7613
0.0000 -1.8588 8.7613
Sc Re As
2 1 1
Direct
0.0000 0.0000 0.0000
0.2293 0.2293 0.2293
0.7498 0.7498 0.7498
0.4804 0.4804 0.4804
```

## Properties
E_tot ... -0.5483 Ry per atom
Density ... 7.41 g cm⁻³
Total magnetic moment ... 0.295 μB/atom

Record 2
VASP calculation (PBE) on Sc2ReAs after structural relaxation.

Structure (POSCAR):
```
Sc2ReAs
1.0
1.7662 -2.4978 0.0000
1.7662 2.4978 0.0000
0.0000 0.0000 8.6753
Sc Re As
2 1 1
Direct
0.0000 0.0000 0.0000
0.5000 0.5000 0.3216
0.5000 0.5000 0.7613
0.0000 0.0000 0.5528
```

## Properties
E_tot ... -0.5441 Ry per atom
Density ... 7.62 g cm⁻³
Total magnetic moment ... 0.000 μB/atom

Record 3
VASP calculation (PBE) on Sc2ReAs after structural relaxation.

Structure (POSCAR):
```
Sc2ReAs
1.0
1.6413 0.9476 8.0264
-1.6413 0.9476 8.0264
0.0000 -1.8952 8.0264
Sc Re As
2 1 1
Direct
0.2492 0.2492 0.2492
0.7508 0.7508 0.7508
0.5000 0.5000 0.5000
0.0000 0.0000 0.0000
```

## Properties
E_tot ... -0.5667 Ry per atom
Density ... 7.78 g cm⁻³
Total magnetic moment ... 0.000 μB/atom

Question: What is the formula in the second record?
Answer: Sc2ReAs

Question: The highest density belongs to which entry?
Answer: number 3

Question: Which of these has the highest density?
Answer: number 3

Question: Which value of density does entry 1 give?
Answer: 7.41 g cm⁻³